## OsPt2Rh (PBEsol)

Data for an optimized crystal structure of OsPt2Rh.

a b c (Å): 8.9798 8.9798 8.9798
angles (deg): 17.51 17.51 17.51
Closest atoms and distances in Å follow each position.
Positions (direct):
Os  0.0000  0.0000  0.0000  6 Pt 2.70, 6 Os 2.73
Pt  0.2507  0.2507  0.2507  3 Os 2.70, 3 Rh 2.73, 6 Pt 2.73
Pt  0.7493  0.7493  0.7493  3 Os 2.70, 3 Rh 2.73, 6 Pt 2.73
Rh  0.5000  0.5000  0.5000  6 Pt 2.73, 6 Rh 2.73

Values from the calculation:
SG: R-3m, No. 166

## OsPtRh2 (PBEsol)

Data for an optimized crystal structure of OsPtRh2.

a b c (Å): 2.6956 2.6956 7.6699
angles (deg): 90.00 90.00 90.00
Closest atoms and distances in Å follow each position.
Positions (direct):
Os  0.0000  0.0000  0.0000  8 Rh 2.65, 4 Os 2.70
Pt  0.0000  0.0000  0.5000  4 Pt 2.70, 8 Rh 2.76
Rh  0.5000  0.5000  0.2396  4 Os 2.65, 4 Rh 2.70, 4 Pt 2.76
Rh  0.5000  0.5000  0.7604  4 Os 2.65, 4 Rh 2.70, 4 Pt 2.76

Values from the calculation:
SG: P4/mmm, No. 123

## Os2PtRh (PBEsol)

Data for an optimized crystal structure of Os2PtRh.

a b c (Å): 2.7045 3.8193 5.4403
angles (deg): 90.00 90.00 90.00
Closest atoms and distances in Å follow each position.
Positions (direct):
Os  0.0000  0.0000  0.0000  6 Os 2.66-2.70, 2 Pt 2.69-2.75, 4 Rh 2.71
Os  0.5000  0.5000  0.2318  2 Rh 2.63-2.81, 6 Os 2.66-2.70, 4 Pt 2.74
Pt  0.0000  0.0000  0.4948  6 Os 2.69-2.75, 2 Pt 2.70, 4 Rh 2.72
Rh  0.5000  0.5000  0.7489  6 Os 2.63-2.81, 2 Rh 2.70, 4 Pt 2.72

Values from the calculation:
SG: Pmm2, No. 25

## OsPt2Rh (PBEsol)

Data for an optimized crystal structure of OsPt2Rh.

a b c (Å): 2.7247 3.8678 5.4158
angles (deg): 90.00 90.00 90.00
Closest atoms and distances in Å follow each position.
Positions (direct):
Os  0.0000  0.0000  0.0000  2 Rh 2.71, 8 Pt 2.71, 2 Os 2.72
Pt  0.5000  0.5000  0.2458  4 Pt 2.66-2.75, 4 Os 2.71, 4 Rh 2.74
Pt  0.5000  0.5000  0.7542  4 Pt 2.66-2.75, 4 Os 2.71, 4 Rh 2.74
Rh  0.0000  0.0000  0.5000  2 Os 2.71, 2 Rh 2.72, 8 Pt 2.74

Values from the calculation:
SG: Pmmm, No. 47

## Os2PtRh (PBEsol)

Data for an optimized crystal structure of Os2PtRh.

a b c (Å): 4.6841 4.6841 4.6841
angles (deg): 131.76 131.76 70.61
Closest atoms and distances in Å follow each position.
Positions (direct):
Os  0.0000  0.0000  0.0000  4 Os 2.71, 4 Pt 2.71, 4 Rh 2.71
Os  0.7500  0.2500  0.5000  4 Os 2.71, 4 Rh 2.71, 4 Pt 2.71
Pt  0.2500  0.7500  0.5000  8 Os 2.71, 4 Rh 2.71
Rh  0.5000  0.5000  0.0000  8 Os 2.71, 4 Pt 2.71

Values from the calculation:
SG: I-4m2, No. 119

## OsPtRh2 (PBEsol)

Data for an optimized crystal structure of OsPtRh2.

a b c (Å): 4.6922 4.6922 4.6922
angles (deg): 132.23 132.23 69.87
Closest atoms and distances in Å follow each position.
Positions (direct):
Os  0.0000  0.0000  0.0000  8 Rh 2.69-2.70, 4 Pt 2.70
Pt  0.2500  0.7500  0.5000  8 Rh 2.69-2.70, 4 Os 2.70
Rh  0.5000  0.5000  0.0000  4 Os 2.69, 4 Rh 2.70, 4 Pt 2.70
Rh  0.7500  0.2500  0.5000  4 Pt 2.69, 4 Os 2.70, 4 Rh 2.70

Values from the calculation:
SG: I-4m2, No. 119

## OsPt2Rh (PBEsol)

Data for an optimized crystal structure of OsPt2Rh.

a b c (Å): 4.3560 4.3560 4.3560
angles (deg): 60.00 60.00 60.00
Closest atoms and distances in Å follow each position.
Positions (direct):
Os  0.0000  0.0000  0.0000  8 Pt 2.67
Pt  0.2500  0.2500  0.2500  4 Rh 2.67, 4 Os 2.67
Pt  0.7500  0.7500  0.7500  4 Rh 2.67, 4 Os 2.67
Rh  0.5000  0.5000  0.5000  8 Pt 2.67

Values from the calculation:
SG: Fm-3m, No. 225

## Os2PtRh (PBEsol)

Data for an optimized crystal structure of Os2PtRh.

a b c (Å): 2.7023 2.7023 7.7035
angles (deg): 90.00 90.00 90.00
Closest atoms and distances in Å follow each position.
Positions (direct):
Os  0.0000  0.0000  0.0000  8 Os 2.66-2.70, 4 Rh 2.67
Os  0.5000  0.5000  0.2397  8 Os 2.66-2.70, 4 Pt 2.75
Pt  0.0000  0.0000  0.4958  4 Pt 2.70, 4 Os 2.75, 4 Rh 2.78
Rh  0.5000  0.5000  0.7575  4 Os 2.67, 4 Rh 2.70, 4 Pt 2.78

Values from the calculation:
SG: P4mm, No. 99

no.,offset from the most stable computed form (eV per atom)
1,0.089
2,0.000
3,0.018
4,0.087
5,0.073
6,0.088
7,0.428
8,0.000